ScInNF2 after structural relaxation. Source: Alexandria via LeMat-Bulk, functional PBE.

N(E_F): 0.449 states/eV/cell
ΔE to the lowest computed polymorph: 0.000 eV/atom
Spin magnetization: 0.00 μB/atom

POSCAR file:
```
ScInNF2
1.0
4.067 0.000 0.000
0.000 4.067 0.000
0.000 0.000 4.467
Sc In N F
1 1 1 2
Direct
0.000 0.000 0.000
0.500 0.500 0.500
0.000 0.000 0.500
0.000 0.500 0.000
0.500 0.000 0.000
```